No. 1
# Dy8Cu2Pt

A geometry-optimized Dy8Cu2Pt structure (GGA-PBE, Alexandria).

## Properties
The calculation puts the excess energy over the best structure of this formula in the dataset at 116.8 meV/atom. As for the space-group type: Cm. Its energy relative to the elements is -0.1940 eV/atom.

Lattice parameters (Å, degrees): 7.7573 7.7573 5.8690 100.82 100.82 115.18
Closest atoms and distances in Å follow each position.
Fractional positions:
Dy  0.0000  0.0000  0.0000  1 Pt 3.05, 2 Cu 3.11
Dy  0.0198  0.2741  0.5657  2 Cu 2.82-2.89, 1 Pt 3.03
Dy  0.1590  0.5708  0.1864  1 Pt 2.88, 1 Cu 3.17
Dy  0.2741  0.0198  0.5657  2 Cu 2.82-2.89, 1 Pt 3.03
Dy  0.4541  0.7089  0.7910  2 Cu 2.80-2.84, 1 Pt 3.03
Dy  0.5708  0.1590  0.1864  1 Pt 2.88, 1 Cu 3.17
Dy  0.7089  0.4541  0.7910  2 Cu 2.80-2.84, 1 Pt 3.03
Dy  0.7318  0.7318  0.3786  1 Pt 2.99, 2 Cu 3.14
Cu  0.0656  0.6729  0.6942  5 Dy 2.80-3.11
Cu  0.6729  0.0656  0.6942  5 Dy 2.80-3.11
Pt  0.3678  0.3678  0.3597  8 Dy 2.88-3.05

No. 2
# Y3AlTl3Te8

A geometry-optimized Y3AlTl3Te8 structure (GGA-PBE, Alexandria).

## Properties
The uncorrected formation energy is -862 meV/atom. As for the space-group type: P-1.

Lattice parameters (Å, degrees): 8.7241 8.7307 9.5940 62.96 62.98 60.04
Closest atoms and distances in Å follow each position.
Fractional positions:
Y  0.0000  0.0000  0.0000  6 Te 3.08-3.09
Y  0.0000  0.5000  0.0000  6 Te 3.08-3.09
Y  0.5000  0.0000  0.0000  6 Te 3.08-3.09
Al  0.5000  0.5000  0.0000  6 Te 2.86
Tl  0.0000  0.5000  0.5000  6 Te 3.42-3.45
Tl  0.5000  0.0000  0.5000  6 Te 3.42-3.45
Tl  0.5000  0.5000  0.5000  6 Te 3.42-3.45
Te  0.2390  0.2393  0.7827  3 Y 3.08, 3 Tl 3.42
Te  0.2572  0.7223  0.7984  1 Al 2.86, 2 Y 3.09
Te  0.2779  0.2777  0.2016  1 Al 2.86, 2 Y 3.09
Te  0.2780  0.7425  0.2015  1 Al 2.86, 2 Y 3.09
Te  0.7220  0.2575  0.7985  1 Al 2.86, 2 Y 3.09
Te  0.7221  0.7223  0.7984  1 Al 2.86, 2 Y 3.09
Te  0.7428  0.2777  0.2016  1 Al 2.86, 2 Y 3.09
Te  0.7610  0.7607  0.2173  3 Y 3.08, 3 Tl 3.42

No. 3
# La6TbTh3

A geometry-optimized La6TbTh3 structure (GGA-PBE, Alexandria).

## Properties
As for the space-group type: R3. Its energy relative to the elements is 0.2546 eV/atom.

Lattice parameters (Å, degrees): 7.1555 7.1555 7.1555 90.14 90.14 90.14
Closest atoms and distances in Å follow each position.
Fractional positions:
La  0.0107  0.3325  0.6568  2 Th 3.27-3.60, 1 Tb 3.57
La  0.1567  0.8274  0.5101  2 Th 3.28-3.55, 1 Tb 3.61
La  0.3325  0.6568  0.0107  2 Th 3.27-3.60, 1 Tb 3.57
La  0.5101  0.1567  0.8274  2 Th 3.28-3.55, 1 Tb 3.61
La  0.6568  0.0107  0.3325  2 Th 3.27-3.60, 1 Tb 3.57
La  0.8274  0.5101  0.1567  2 Th 3.28-3.55, 1 Tb 3.61
Tb  0.0810  0.0810  0.0810  2 Th 3.05-3.09
Th  0.3278  0.3278  0.3278  1 Tb 3.05, 1 Th 3.14, 3 La 3.27
Th  0.5814  0.5814  0.5814  2 Th 3.08-3.14
Th  0.8308  0.8308  0.8308  1 Th 3.08, 1 Tb 3.09, 3 La 3.28